--- P ---
! PBE Li2Cu6Rh, relaxed; values from VASP
! DOS(E_F): 5.82 states/eV/cell
! space group: P4_2/mnm, No. 136
! crystal system: tetragonal
&SYSTEM
  ibrav = 0, nat = 18, ntyp = 3
/
ATOMIC_SPECIES
Li 6.94 Li.upf
Cu 63.55 Cu.upf
Rh 102.91 Rh.upf
ATOMIC_POSITIONS crystal
Li 0.1624 0.1624 0.0000
Li 0.3376 0.6624 0.5000
Li 0.6624 0.3376 0.5000
Li 0.8376 0.8376 0.0000
Cu 0.0073 0.6630 0.5000
Cu 0.1630 0.4927 0.0000
Cu 0.1711 0.8289 0.0000
Cu 0.3289 0.3289 0.5000
Cu 0.3370 0.9927 0.5000
Cu 0.4927 0.1630 0.0000
Cu 0.5073 0.8370 0.0000
Cu 0.6630 0.0073 0.5000
Cu 0.6711 0.6711 0.5000
Cu 0.8289 0.1711 0.0000
Cu 0.8370 0.5073 0.0000
Cu 0.9927 0.3370 0.5000
Rh 0.0000 0.0000 0.5000
Rh 0.5000 0.5000 0.0000
CELL_PARAMETERS angstrom
7.7072 0.0000 0.0000
0.0000 7.7072 0.0000
0.0000 0.0000 3.7249

=====

--- Q ---
! PBE Li2Cu6Rh, relaxed; values from VASP
! DOS(E_F): 3.29 states/eV/cell
! space group: C2/m, No. 12
! crystal system: monoclinic
&SYSTEM
  ibrav = 0, nat = 9, ntyp = 3
/
ATOMIC_SPECIES
Li 6.94 Li.upf
Cu 63.55 Cu.upf
Rh 102.91 Rh.upf
ATOMIC_POSITIONS crystal
Li 0.1654 0.1654 0.0841
Li 0.8346 0.8346 0.9159
Cu 0.1797 0.7003 0.2998
Cu 0.2641 0.2641 0.5349
Cu 0.2997 0.8203 0.7002
Cu 0.7003 0.1797 0.2998
Cu 0.7359 0.7359 0.4651
Cu 0.8203 0.2997 0.7002
Rh 0.5000 0.5000 0.0000
CELL_PARAMETERS angstrom
3.7916 -2.5028 0.0000
3.7916 2.5028 0.0000
-2.3747 0.0000 6.0979

=====

Quick look at relative energies in eV/atom: P 0.000; Q 0.104.